No. 1
The following is a PBE calculation of a relaxed ScRhAu crystal, from Alexandria.

Properties
ΔH_f (0 K) ... -0.3972 eV/atom
DOS(E_F) ... 1.87 states/eV/cell
ΔE to the lowest computed polymorph ... 313 meV/atom
Total magnetic moment ... 0.0 μB/cell

a b c (Å): 3.1819 3.1819 6.2721
angles (deg): 90.00 90.00 120.00
Space group P3m1 (No. 156)
Inequivalent atoms, fractional coordinates:
1 Sc 0.0000 0.0000 0.0000 [1 per cell]
2 Rh 0.3333 0.6667 0.7063 [1 per cell]
3 Au 0.6667 0.3333 0.3453 [1 per cell]


No. 2
The following is a PBE calculation of a relaxed CeTmCd4 crystal, from Alexandria.

Properties
ΔH_f (0 K) ... -0.1979 eV/atom
DOS(E_F) ... 36.92 states/eV/cell
ΔE to the lowest computed polymorph ... 64 meV/atom
Total magnetic moment ... 4.0 μB/cell

a b c (Å): 8.3777 8.3777 8.3777
angles (deg): 90.00 90.00 90.00
Space group F-43m (No. 216)
Inequivalent atoms, fractional coordinates:
1 Ce 0.0000 0.0000 0.0000 [4 per cell]
2 Tm 0.2500 0.2500 0.7500 [4 per cell]
3 Cd 0.1249 0.1249 0.3751 [16 per cell]


No. 3
The following is a PBE calculation of a relaxed La2SmDy3Se6 crystal, from Alexandria.

Properties
Energy ... -5.955 eV/atom
DOS(E_F) ... 11.98 states/eV/cell
Total magnetic moment ... 0.0 μB/cell

a b c (Å): 18.2593 4.1282 8.4386
angles (deg): 90.00 104.59 90.00
Space group C2/m (No. 12)
Inequivalent atoms, fractional coordinates:
1 La 0.1659 0.0000 0.3320 [4 per cell]
2 Sm 0.0000 0.5000 0.0000 [2 per cell]
3 Dy 0.0000 0.5000 0.5000 [2 per cell]
4 Dy 0.1678 0.0000 0.8335 [4 per cell]
5 Se 0.0050 0.0000 0.7460 [4 per cell]
6 Se 0.1626 0.5000 0.5935 [4 per cell]
7 Se 0.1680 0.5000 0.0706 [4 per cell]